1.
# GGA-PBE Si3Mo4W2C3, optimized geometry
data_Si3Mo4W2C3
_space_group_name_H-M_alt 'C 1 2/c 1'
_space_group_IT_number 15
_cell_length_a 9.4055
_cell_length_b 5.4040
_cell_length_c 12.6898
_cell_angle_alpha 90.00
_cell_angle_beta 104.30
_cell_angle_gamma 90.00
loop_
_space_group_symop_operation_xyz
'x,y,z'
'-x,-y,-z'
'-x,y,-z+1/2'
'x,-y,z+1/2'
'x+1/2,y+1/2,z'
'-x+1/2,-y+1/2,-z'
'-x+1/2,y+1/2,-z+1/2'
'x+1/2,-y+1/2,z+1/2'
loop_
_atom_site_label
_atom_site_type_symbol
_atom_site_fract_x
_atom_site_fract_y
_atom_site_fract_z
Si1 Si 0.0000 0.1134 0.2500
Si2 Si 0.1529 0.4326 0.7511
Mo1 Mo 0.1164 0.0706 0.5996
Mo2 Mo 0.2099 0.0905 0.9005
W1 W 0.0600 0.4119 0.4154
C1 C 0.0843 0.2489 0.0005
C2 C 0.2500 0.2500 0.5000
# Raw total energy ... -9.4941 eV/atom
# Crystal system ... monoclinic

2.
# GGA-PBE KSmTmSe3, optimized geometry
data_KSmTmSe3
_space_group_name_H-M_alt 'P 1 21/m 1'
_space_group_IT_number 11
_cell_length_a 4.4612
_cell_length_b 11.4402
_cell_length_c 7.9761
_cell_angle_alpha 90.00
_cell_angle_beta 105.71
_cell_angle_gamma 90.00
loop_
_space_group_symop_operation_xyz
'x,y,z'
'-x,-y,-z'
'-x,y+1/2,-z'
'x,-y+1/2,z'
loop_
_atom_site_label
_atom_site_type_symbol
_atom_site_fract_x
_atom_site_fract_y
_atom_site_fract_z
K1 K 0.2310 0.2500 0.4733
Sm1 Sm 0.5000 0.0000 0.0000
Tm1 Tm 0.0347 0.7500 0.0693
Se1 Se 0.1223 0.5533 0.2545
Se2 Se 0.4368 0.7500 0.8679
# Raw total energy ... -4.9969 eV/atom
# Crystal system ... monoclinic

3.
# GGA-PBE GdSc2, optimized geometry
data_GdSc2
_space_group_name_H-M_alt 'P 4/n m m'
_space_group_IT_number 129
_cell_length_a 4.5060
_cell_length_b 4.5060
_cell_length_c 8.0953
_cell_angle_alpha 90.00
_cell_angle_beta 90.00
_cell_angle_gamma 90.00
loop_
_space_group_symop_operation_xyz
'x,y,z'
'-x,-y,-z'
'-y+1/2,x,z'
'y+1/2,-x,-z'
'-x+1/2,-y+1/2,z'
'x+1/2,y+1/2,-z'
'y,-x+1/2,z'
'-y,x+1/2,-z'
'x+1/2,-y,-z'
'-x+1/2,y,z'
'-y,-x,-z'
'y,x,z'
'-x,y+1/2,-z'
'x,-y+1/2,z'
'y+1/2,x+1/2,-z'
'-y+1/2,-x+1/2,z'
loop_
_atom_site_label
_atom_site_type_symbol
_atom_site_fract_x
_atom_site_fract_y
_atom_site_fract_z
Gd1 Gd 0.2500 0.2500 0.1879
Sc1 Sc 0.2500 0.2500 0.7871
Sc2 Sc 0.2500 0.7500 0.5000
# Raw total energy ... -5.5451 eV/atom
# Crystal system ... tetragonal
# Energy of formation from the pure elements ... 225 meV per atom
# Polymorph energy (0 for the lowest one) ... 0 meV per atom